No. 1
Here is crystalline TbAl3PdAu at its relaxed geometry from the Alexandria database. Energies are from PBE.

Values from the calculation:
Electronic total energy: -0.169 Ha/atom
Energy of formation from the pure elements: -0.542 eV per atom

CIF file:
```
data_TbAl3PdAu
_cell_length_a 6.052
_cell_length_b 12.854
_cell_length_c 5.874
_cell_angle_alpha 90.00
_cell_angle_beta 90.00
_cell_angle_gamma 90.00
_space_group_name_H-M_alt 'C m c m'
_space_group_IT_number 63
_space_group_name_Hall '-C 2c 2'
loop_
_atom_site_label
_atom_site_fract_x
_atom_site_fract_y
_atom_site_fract_z
Tb1 0.000 0.205 0.250
Al1 0.000 0.366 0.750
Al2 0.214 0.000 0.000
Pd1 0.000 0.414 0.250
Au1 0.000 0.160 0.750
```

=====

No. 2
Here is crystalline TbAlPdAu at its relaxed geometry from the Alexandria database. Energies are from PBE.

Values from the calculation:
Electronic total energy: -0.182 Ha/atom
Energy of formation from the pure elements: -0.746 eV per atom

CIF file:
```
data_TbAlPdAu
_cell_length_a 6.754
_cell_length_b 6.754
_cell_length_c 6.754
_cell_angle_alpha 90.00
_cell_angle_beta 90.00
_cell_angle_gamma 90.00
_space_group_name_H-M_alt 'F -4 3 m'
_space_group_IT_number 216
_space_group_name_Hall 'F -4 2 3'
loop_
_atom_site_label
_atom_site_fract_x
_atom_site_fract_y
_atom_site_fract_z
Tb1 0.000 0.000 0.000
Al1 0.000 0.000 0.500
Pd1 0.250 0.250 0.750
Au1 0.250 0.250 0.250
```

=====

No. 3
Here is crystalline TbAl4Pd2Au at its relaxed geometry from the Alexandria database. Energies are from PBE.

Values from the calculation:
Electronic total energy: -0.176 Ha/atom
Energy of formation from the pure elements: -0.638 eV per atom

CIF file:
```
data_TbAl4Pd2Au
_cell_length_a 4.3035
_cell_length_b 4.3035
_cell_length_c 26.7936
_cell_angle_alpha 90.00
_cell_angle_beta 90.00
_cell_angle_gamma 120.00
_space_group_name_H-M_alt 'R -3 m'
_space_group_IT_number 166
_space_group_name_Hall '-R 3 2"'
loop_
_atom_site_label
_atom_site_fract_x
_atom_site_fract_y
_atom_site_fract_z
Tb1 0.0000 0.0000 0.0000
Al1 0.0000 0.0000 0.1259
Al2 0.0000 0.0000 0.4004
Pd1 0.0000 0.0000 0.2460
Au1 0.0000 0.0000 0.5000
```

=====

No. 4
Here is crystalline Tb2Al2Pd5Au at its relaxed geometry from the Alexandria database. Energies are from PBE.

Values from the calculation:
Electronic total energy: -0.195 Ha/atom
Energy of formation from the pure elements: -0.719 eV per atom

CIF file:
```
data_Tb2Al2Pd5Au
_cell_length_a 9.931
_cell_length_b 9.931
_cell_length_c 3.686
_cell_angle_alpha 90.00
_cell_angle_beta 90.00
_cell_angle_gamma 90.00
_space_group_name_H-M_alt 'P 4/m b m'
_space_group_IT_number 127
_space_group_name_Hall '-P 4 2ab'
loop_
_atom_site_label
_atom_site_fract_x
_atom_site_fract_y
_atom_site_fract_z
Tb1 0.180 0.320 0.000
Al1 0.118 0.618 0.000
Pd1 0.000 0.500 0.500
Pd2 0.065 0.791 0.500
Au1 0.000 0.000 0.000
```